Below is a geometry-optimized Li7In2Ag2 structure, with properties calculated at the PBE level.

Cell: 9.5374 9.3018 5.0103 Å, 90.00 115.14 90.00°
Space group C2/m (No. 12)
Asymmetric unit:
Li  0.0000  0.0000  0.0000 x2
Li  0.0882  0.5000  0.8017 x4
Li  0.1718  0.2445  0.1725 x8
In  0.0000  0.2017  0.5000 x4
Ag  0.2501  0.0000  0.5560 x4

- Total energy: -2.40 eV/atom